H2RhN (SCAN, PBEsol geometry); polymorph energy (0 for the lowest one) = 2.05 eV per formula unit
1.0
0.0000 2.3418 2.3418
2.3418 0.0000 2.3418
2.3418 2.3418 0.0000
H Rh N
2 1 1
direct
0.2500 0.2500 0.2500
0.7500 0.7500 0.7500
0.0000 0.0000 0.0000
0.5000 0.5000 0.5000


Cs3YNb (SCAN, PBEsol geometry); formation energy = 830 kJ/mol of formula units
1.0
6.9975 0.0000 0.0000
0.0000 6.9975 0.0000
0.0000 0.0000 6.9975
Cs Y Nb
3 1 1
direct
0.0000 0.0000 0.5000
0.0000 0.5000 0.0000
0.5000 0.0000 0.0000
0.0000 0.0000 0.0000
0.5000 0.5000 0.5000


NaGaNO2 (SCAN, PBEsol geometry); ΔE_f (raw) = -0.44 eV/atom
1.0
3.8795 0.0000 0.0000
0.0000 3.8795 0.0000
0.0000 0.0000 3.9675
Na Ga N O
1 1 1 2
direct
0.0000 0.0000 0.0000
0.5000 0.5000 0.5000
0.5000 0.5000 0.0000
0.0000 0.5000 0.5000
0.5000 0.0000 0.5000


Rb2SbP2 (SCAN, PBEsol geometry); ΔE_f (raw) = -0.16 eV/atom
1.0
-1.7134 1.7134 11.4174
1.7134 -1.7134 11.4174
1.7134 1.7134 -11.4174
Rb Sb P
2 1 2
direct
0.1199 0.1199 0.0000
0.8801 0.8801 0.0000
0.5000 0.5000 0.0000
0.2500 0.7500 0.5000
0.7500 0.2500 0.5000